CaAg3Br | Alexandria | GGA-PBE | relaxed; formation energy without anion corrections = 70.1 kJ per mole of atoms; ρ = 4.2 g cm⁻³; magnetization = 0.00 Bohr magnetons per cell; space-group type = Pm-3m, No. 221; energy above the lowest structure with this stoichiometry = 0.299 eV per atom
1.0
5.595 0.000 0.000
0.000 5.595 0.000
0.000 0.000 5.595
Ca Br Ag
1 1 3
Direct
0.000 0.000 0.000 Ca
0.500 0.500 0.500 Br
0.000 0.000 0.500 Ag
0.000 0.500 0.000 Ag
0.500 0.000 0.000 Ag